Record 1
Crystalline SrCd2Ga2 at its relaxed geometry. Source: Alexandria, functional PBE.

```
SrCd2Ga2
1.0
8.3517 0.0000 0.0000
0.0000 8.3517 0.0000
0.0000 0.0000 3.5489
Ga Cd Sr
4 4 2
Cartesian
7.2975 5.2301 0.0000
1.0542 3.1216 0.0000
5.2301 1.0542 0.0000
3.1216 7.2975 0.0000
6.9898 2.8140 1.7744
5.5377 6.9898 1.7744
2.8140 1.3619 1.7744
1.3619 5.5377 1.7744
4.1759 4.1759 0.0000
0.0000 0.0000 0.0000
```

Formation energy   -0.1248 eV per atom
Energy above the most stable polymorph in this dataset   225 meV/atom
Symmetry   P4/mbm
Total magnetic moment   0.0 Bohr magnetons per cell


Record 2
Crystalline TiBeN3 at its relaxed geometry. Source: Alexandria, functional PBE.

```
TiBeN3
1.0
-0.6265 2.6779 2.7193
0.4259 -2.6894 2.7466
3.7927 0.7444 0.1408
Ti N Be
1 3 1
Cartesian
0.0000 0.0000 0.0000
1.8963 0.3722 0.0704
0.2129 -1.3447 1.3733
-0.3133 1.3390 1.3597
1.7960 0.3664 2.8034
```

Uncorrected formation energy   1014 meV per atom
Symmetry   Pm-3m
Total magnetic moment   1.2 Bohr magnetons per cell


Record 3
Crystalline Pm2DyThBi4 at its relaxed geometry. Source: Alexandria, functional PBE.

```
Pm2DyThBi4
1.0
4.5680 0.0000 0.0000
0.0000 7.8823 0.1315
0.0000 -2.7596 7.4059
Bi Pm Th Dy
4 2 1 1
Cartesian
2.2840 3.8688 5.6872
2.2840 1.2539 1.8501
0.0000 -0.1297 5.5949
0.0000 5.2525 1.9425
2.2840 -1.3798 3.7029
0.0000 2.5614 3.7687
2.2840 3.9412 0.0658
0.0000 0.0000 0.0000
```

Formation energy   -0.8393 eV per atom
Symmetry   P2/m
Total magnetic moment   0.0 Bohr magnetons per cell


total magnetic moment of number 1 (SrCd2Ga2)?
0.0 Bohr magnetons per cell


Which formula does entry 2 have?
TiBeN3


Repeat the second record exactly.
Crystalline TiBeN3 at its relaxed geometry. Source: Alexandria, functional PBE.

```
TiBeN3
1.0
-0.6265 2.6779 2.7193
0.4259 -2.6894 2.7466
3.7927 0.7444 0.1408
Ti N Be
1 3 1
Cartesian
0.0000 0.0000 0.0000
1.8963 0.3722 0.0704
0.2129 -1.3447 1.3733
-0.3133 1.3390 1.3597
1.7960 0.3664 2.8034
```

Uncorrected formation energy   1014 meV per atom
Symmetry   Pm-3m
Total magnetic moment   1.2 Bohr magnetons per cell


What is the total magnetic moment in the second record?
1.2 Bohr magnetons per cell